[1]
This record from the Alexandria database describes a geometry-optimized La2Tm3Ni2 structure. The functional is GGA-PBE.

abc: 3.614 6.437 8.528
angles: 73.27 77.77 73.70
Sites, in units of the cell vectors:
La1 0.166 0.478 0.189
Tm1 0.618 0.194 0.569
Ni1 0.833 0.092 0.242
Ni2 0.167 0.908 0.758
La2 0.834 0.522 0.811
Tm2 0.382 0.806 0.431
Tm3 0.500 0.000 0.000

Properties
space-group type = C2/m (12)
formation energy = -258.6 meV per atom
crystal system = monoclinic
size of the total moment = 0.000 μB per formula unit

***

[2]
This record from the Alexandria database describes a geometry-optimized LaTm2Ni9 structure. The functional is GGA-PBE.

abc: 4.997 4.997 16.144
angles: 90.00 90.00 120.00
Sites, in units of the cell vectors:
Ni1 0.000 0.000 0.250
Tm1 0.667 0.333 0.040
Ni2 0.667 0.333 0.750
Ni3 0.000 0.000 0.750
Ni4 0.168 0.832 0.376
Ni5 0.335 0.168 0.876
Ni6 0.168 0.832 0.124
Ni7 0.832 0.168 0.876
Tm2 0.667 0.333 0.460
Ni8 0.832 0.168 0.624
Ni9 0.168 0.335 0.376
Ni10 0.333 0.667 0.250
Ni11 0.000 0.000 0.500
Tm3 0.333 0.667 0.960
Ni12 0.168 0.335 0.124
Tm4 0.333 0.667 0.540
Ni13 0.832 0.665 0.624
Ni14 0.000 0.000 0.000
Ni15 0.665 0.832 0.376
Ni16 0.335 0.168 0.624
Ni17 0.665 0.832 0.124
La1 0.333 0.667 0.750
Ni18 0.832 0.665 0.876
La2 0.667 0.333 0.250

Properties
space-group type = P6_3/mmc (194)
formation energy = -416.3 meV per atom
crystal system = hexagonal
size of the total moment = 0.001 μB per formula unit

***

[3]
This record from the Alexandria database describes a geometry-optimized LaTm12Ni6 structure. The functional is GGA-PBE.

abc: 8.425 8.425 8.425
angles: 109.47 109.47 109.47
Sites, in units of the cell vectors:
Tm1 0.185 0.689 0.873
Tm2 0.127 0.815 0.311
Tm3 0.504 0.815 0.689
Tm4 0.496 0.185 0.311
Ni1 0.500 0.124 0.624
Tm5 0.815 0.689 0.504
Tm6 0.185 0.311 0.496
Ni2 0.624 0.500 0.124
La1 0.000 0.000 0.000
Ni3 0.500 0.876 0.376
Tm7 0.689 0.873 0.185
Tm8 0.311 0.127 0.815
Ni4 0.124 0.624 0.500
Tm9 0.873 0.185 0.689
Ni5 0.876 0.376 0.500
Tm10 0.815 0.311 0.127
Ni6 0.376 0.500 0.876
Tm11 0.311 0.496 0.185
Tm12 0.689 0.504 0.815

Properties
space-group type = Im-3 (204)
formation energy = -262.1 meV per atom
crystal system = cubic
size of the total moment = 0.001 μB per formula unit